1.
{
  "formula": "SmTeAsO",
  "functional": "GGA-PBE",
  "state": "optimized geometry",
  "cell": [[4.1157, 0.0000, 0.0000], [0.0000, 4.1157, 0.0000], [0.0000, 0.0000, 10.6680]],
  "species": ["Sm", "Sm", "Te", "Te", "As", "As", "O", "O"],
  "fractional_positions": [[0.2500, 0.2500, 0.1025], [0.7500, 0.7500, 0.8975], [0.2500, 0.7500, 0.5000], [0.7500, 0.2500, 0.5000], [0.2500, 0.2500, 0.7295], [0.7500, 0.7500, 0.2705], [0.2500, 0.7500, 0.0000], [0.7500, 0.2500, 0.0000]],
  "de_polymorph_ev_per_atom": 0.000,
  "sg": "P4/nmm (129)",
  "crystal_system": "tetragonal"
}

=====

2.
{
  "formula": "NaHg3Te4Os",
  "functional": "GGA-PBE",
  "state": "optimized geometry",
  "cell": [[7.5844, 0.0000, 0.0000], [0.0000, 7.5844, 0.0000], [0.0000, 0.0000, 7.5844]],
  "species": ["Na", "Hg", "Hg", "Hg", "Te", "Te", "Te", "Te", "Os"],
  "fractional_positions": [[0.0000, 0.0000, 0.0000], [0.0000, 0.5000, 0.5000], [0.5000, 0.0000, 0.5000], [0.5000, 0.5000, 0.0000], [0.3093, 0.3093, 0.3093], [0.3093, 0.6907, 0.6907], [0.6907, 0.3093, 0.6907], [0.6907, 0.6907, 0.3093], [0.5000, 0.5000, 0.5000]],
  "sg": "P-43m (215)",
  "crystal_system": "cubic",
  "final_energy_ev_per_atom": -2.75
}

=====

3.
{
  "formula": "RbZn",
  "functional": "GGA-PBE",
  "state": "optimized geometry",
  "cell": [[5.7962, 0.0000, 0.0000], [0.0000, 5.1268, 0.0000], [-2.8903, 0.0000, 11.9579]],
  "species": ["Rb", "Rb", "Rb", "Rb", "Rb", "Zn", "Zn", "Zn", "Zn", "Zn"],
  "fractional_positions": [[0.0000, 0.0000, 0.0000], [0.0761, 0.5000, 0.2596], [0.2545, 0.0000, 0.5199], [0.4751, 0.5000, 0.0097], [0.7203, 0.5000, 0.5091], [0.2371, 0.5000, 0.7285], [0.4783, 0.0000, 0.7939], [0.5792, 0.0000, 0.2602], [0.7723, 0.5000, 0.7914], [0.9403, 0.0000, 0.7254]],
  "sg": "Pm (6)",
  "crystal_system": "monoclinic",
  "final_energy_ev_per_atom": -0.91
}